DFT (PBE-GGA) results for crystalline SrBeOsW2 at its relaxed geometry.

Summary:
E_tot	-24.42	eV/cell
formation energy from the elements	1749	kJ/mol of formula units

a = 4.7187 Å, b = 4.7187 Å, c = 4.1895 Å
α = 90.00°, β = 90.00°, γ = 90.00°
Space group P4/mmm (No. 123)
Symmetry-distinct sites (fractional):
Sr  0.0000  0.0000  0.0000
Be  0.0000  0.0000  0.5000
Os  0.5000  0.5000  0.5000
W  0.0000  0.5000  0.0000

DFT (PBE-GGA) results for crystalline TlSeCl at its relaxed geometry.

Summary:
formation energy without anion corrections	-0.456	eV per atom
E_tot	-18.13	eV/cell

a = 4.5443 Å, b = 6.0921 Å, c = 7.5139 Å
α = 98.36°, β = 104.51°, γ = 109.88°
Space group P-1 (No. 2)
Symmetry-distinct sites (fractional):
Tl  0.2438  0.2537  0.1491
Se  0.1301  0.7021  0.5736
Cl  0.4536  0.7467  0.1592